<one>
AlHAu3 | PBE | optimized geometry

Geometry as POSCAR:
```
AlHAu3
1.0
4.898 0.000 0.000
0.000 4.898 0.000
0.000 0.000 4.898
Au H Al
3 1 1
direct
0.000 0.000 0.500
0.000 0.500 0.000
0.500 0.000 0.000
0.500 0.500 0.500
0.000 0.000 0.000
```

Computed properties:
The symmetry is Pm-3m.


<two>
AlHAu3 | PBE | optimized geometry

Geometry as POSCAR:
```
AlHAu3
1.0
4.198 0.000 0.000
0.000 4.198 0.000
0.000 0.000 4.198
H Au Al
1 3 1
direct
0.000 0.000 0.000
0.000 0.000 0.500
0.500 0.000 0.000
0.000 0.500 0.000
0.500 0.500 0.500
```

Computed properties:
The symmetry is Pm-3m.


Quick one: least stable of them? <one>


<one>
AlHAu2 | PBE | optimized geometry

Geometry as POSCAR:
```
AlHAu2
1.0
5.314 0.000 0.000
0.000 5.314 0.000
2.657 2.657 4.594
Au Al H
4 2 2
direct
0.875 0.785 0.750
0.535 0.125 0.250
0.375 0.465 0.750
0.215 0.625 0.250
0.750 0.250 0.500
0.000 0.000 0.000
0.500 0.500 0.000
0.250 0.750 0.500
```

Computed properties:
The symmetry is I-42d.


<two>
AlHAu2 | PBE | optimized geometry

Geometry as POSCAR:
```
AlHAu2
1.0
0.000 3.068 3.068
3.068 0.000 3.068
3.068 3.068 0.000
H Al Au
1 1 2
direct
0.000 0.000 0.000
0.500 0.500 0.500
0.750 0.750 0.750
0.250 0.250 0.250
```

Computed properties:
The symmetry is Fm-3m.


Quick one: least stable of them? <two>


<one>
AlHPd2Au | PBE | optimized geometry

Geometry as POSCAR:
```
AlHPd2Au
1.0
4.005 0.000 0.000
0.000 4.005 0.000
0.000 0.000 4.096
Au Pd H Al
1 2 1 1
direct
0.000 0.000 0.500
0.500 0.000 0.000
0.000 0.500 0.000
0.000 0.000 0.000
0.500 0.500 0.500
```

Computed properties:
The symmetry is P4/mmm.


<two>
AlHPd2Au | PBE | optimized geometry

Geometry as POSCAR:
```
AlHPd2Au
1.0
3.958 0.000 0.000
0.000 3.958 0.000
0.000 0.000 4.156
Au Pd Al H
1 2 1 1
direct
0.500 0.500 0.500
0.000 0.500 0.000
0.500 0.000 0.000
0.000 0.000 0.500
0.000 0.000 0.000
```

Computed properties:
The symmetry is P4/mmm.


Quick one: least stable of them? <two>


<one>
TaAlHAu | PBE | optimized geometry

Geometry as POSCAR:
```
TaAlHAu
1.0
-0.296 -3.113 0.391
2.100 -0.438 -1.893
8.386 0.360 9.223
Au H Ta Al
2 2 2 2
direct
0.000 0.000 0.986
0.000 0.500 0.486
0.000 0.000 0.727
0.000 0.500 0.227
0.500 0.500 0.146
0.500 0.000 0.646
0.500 0.500 0.844
0.500 0.000 0.344
```

Computed properties:
The symmetry is Amm2.


<two>
TaAlHAu | PBE | optimized geometry

Geometry as POSCAR:
```
TaAlHAu
1.0
3.041 0.021 0.003
1.512 2.640 0.007
1.525 0.881 6.902
Al Ta Au H
1 1 1 1
direct
0.446 0.785 0.286
0.670 0.009 0.611
0.211 0.550 0.984
0.968 0.307 0.713
```

Computed properties:
The symmetry is Cm.


Quick one: least stable of them? <one>


<one>
Hf3AlAu | PBE | optimized geometry

Geometry as POSCAR:
```
Hf3AlAu
1.0
3.227 -0.071 -0.005
-1.489 5.414 0.715
-0.031 -2.155 11.219
Al Hf Au
2 6 2
direct
0.434 0.868 0.644
0.566 0.132 0.356
0.930 0.860 0.171
0.148 0.295 0.556
0.070 0.140 0.829
0.852 0.705 0.444
0.637 0.275 0.052
0.363 0.725 0.948
0.776 0.552 0.744
0.224 0.448 0.256
```

Computed properties:
The symmetry is C2/m.


<two>
Hf3AlAu | PBE | optimized geometry

Geometry as POSCAR:
```
Hf3AlAu
1.0
5.088 0.000 0.000
0.000 5.088 0.000
0.000 0.000 5.088
Hf Al Au
3 1 1
direct
0.000 0.000 0.500
0.500 0.000 0.000
0.000 0.500 0.000
0.500 0.500 0.500
0.000 0.000 0.000
```

Computed properties:
The symmetry is Pm-3m.


Quick one: least stable of them? <two>


<one>
Hf2AlAu2 | PBE | optimized geometry

Geometry as POSCAR:
```
Hf2AlAu2
1.0
7.721 0.000 0.000
0.000 7.721 0.000
0.000 0.000 3.453
Hf Al Au
4 2 4
direct
0.666 0.166 0.000
0.834 0.666 0.000
0.166 0.334 0.000
0.334 0.834 0.000
0.000 0.000 0.000
0.500 0.500 0.000
0.868 0.368 0.500
0.632 0.868 0.500
0.132 0.632 0.500
0.368 0.132 0.500
```

Computed properties:
The symmetry is P4/mbm.


<two>
Hf2AlAu2 | PBE | optimized geometry

Geometry as POSCAR:
```
Hf2AlAu2
1.0
-3.304 5.540 -2.633
-1.485 -3.624 -5.762
-3.445 -1.257 1.678
Al Hf Au
2 4 4
direct
0.000 0.000 0.000
0.500 0.500 0.000
0.833 0.333 0.500
0.167 0.667 0.500
0.667 0.833 0.500
0.333 0.167 0.500
0.141 0.359 0.000
0.359 0.859 0.000
0.859 0.641 0.000
0.641 0.141 0.000
```

Computed properties:
The symmetry is P4/mbm.


<three>
Hf2AlAu2 | PBE | optimized geometry

Geometry as POSCAR:
```
Hf2AlAu2
1.0
3.056 0.000 0.000
0.000 4.399 0.833
0.000 0.913 7.206
Au Hf Al
2 2 1
direct
0.000 0.810 0.381
0.000 0.190 0.619
0.500 0.388 0.224
0.500 0.612 0.776
0.000 0.000 0.000
```

Computed properties:
The symmetry is Cmmm.


Quick one: least stable of them? <one>